No. 1
# AsPtRh4 (PBE, optimized geometry)
# ΔE_f ... 0.427 eV per atom
# Total moment ... 0.5 μB/f.u.
# V ... 383.0 Å³ per cell
data_AsPtRh4
_chemical_formula_sum 'As4 Pt4 Rh16'
_space_group_name_H-M_alt 'F -4 3 m'
_space_group_IT_number 216
_space_group_name_Hall 'F -4 2 3'
_cell_length_a 7.262
_cell_length_b 7.262
_cell_length_c 7.262
_cell_angle_alpha 90.00
_cell_angle_beta 90.00
_cell_angle_gamma 90.00
loop_
_atom_site_label
_atom_site_type_symbol
_atom_site_fract_x
_atom_site_fract_y
_atom_site_fract_z
As1 As 0.000 0.000 0.000
Pt1 Pt 0.250 0.250 0.750
Rh1 Rh 0.125 0.125 0.375

No. 2
# As2PtRh2 (PBE, optimized geometry)
# Energy relative to the lowest polymorph listed for this composition ... 9.3 kJ/mol of atoms
# ΔE_f ... -0.079 eV per atom
# Total moment ... 0.0 μB/f.u.
# V ... 168.5 Å³ per cell
data_As2PtRh2
_chemical_formula_sum 'As4 Pt2 Rh4'
_space_group_name_H-M_alt 'I 4/m m m'
_space_group_IT_number 139
_space_group_name_Hall '-I 4 2'
_cell_length_a 4.251
_cell_length_b 4.251
_cell_length_c 9.324
_cell_angle_alpha 90.00
_cell_angle_beta 90.00
_cell_angle_gamma 90.00
loop_
_atom_site_label
_atom_site_type_symbol
_atom_site_fract_x
_atom_site_fract_y
_atom_site_fract_z
As1 As 0.000 0.000 0.126
Pt1 Pt 0.000 0.000 0.500
Rh1 Rh 0.000 0.500 0.250

Question: Look up the V of the second one.
Answer: 168.5 Å³ per cell

Question: Among the records above, which one has the lowest total moment?
Answer: As2PtRh2

Please write out number 1 again, unchanged.
# AsPtRh4 (PBE, optimized geometry)
# ΔE_f ... 0.427 eV per atom
# Total moment ... 0.5 μB/f.u.
# V ... 383.0 Å³ per cell
data_AsPtRh4
_chemical_formula_sum 'As4 Pt4 Rh16'
_space_group_name_H-M_alt 'F -4 3 m'
_space_group_IT_number 216
_space_group_name_Hall 'F -4 2 3'
_cell_length_a 7.262
_cell_length_b 7.262
_cell_length_c 7.262
_cell_angle_alpha 90.00
_cell_angle_beta 90.00
_cell_angle_gamma 90.00
loop_
_atom_site_label
_atom_site_type_symbol
_atom_site_fract_x
_atom_site_fract_y
_atom_site_fract_z
As1 As 0.000 0.000 0.000
Pt1 Pt 0.250 0.250 0.750
Rh1 Rh 0.125 0.125 0.375

Please write out number 2 again, unchanged.
# As2PtRh2 (PBE, optimized geometry)
# Energy relative to the lowest polymorph listed for this composition ... 9.3 kJ/mol of atoms
# ΔE_f ... -0.079 eV per atom
# Total moment ... 0.0 μB/f.u.
# V ... 168.5 Å³ per cell
data_As2PtRh2
_chemical_formula_sum 'As4 Pt2 Rh4'
_space_group_name_H-M_alt 'I 4/m m m'
_space_group_IT_number 139
_space_group_name_Hall '-I 4 2'
_cell_length_a 4.251
_cell_length_b 4.251
_cell_length_c 9.324
_cell_angle_alpha 90.00
_cell_angle_beta 90.00
_cell_angle_gamma 90.00
loop_
_atom_site_label
_atom_site_type_symbol
_atom_site_fract_x
_atom_site_fract_y
_atom_site_fract_z
As1 As 0.000 0.000 0.126
Pt1 Pt 0.000 0.000 0.500
Rh1 Rh 0.000 0.500 0.250